Compound: KMgV2Ir
Source: the Alexandria database
Functional: GGA-PBE
Structure: optimized geometry

Properties
- Crystal system: tetragonal
- Formation energy from the elements: 888 kJ/mol of formula units
- Total moment: 0.1 Bohr magnetons per cell

Cell lengths 4.8727, 4.8727, 4.7360 Å; angles 90.00, 90.00, 90.00 degrees
Space group P4/mmm (No. 123)
Symmetry-distinct sites (fractional):
K (0.0000, 0.0000, 0.0000) x1
Mg (0.5000, 0.5000, 0.5000) x1
V (0.0000, 0.5000, 0.5000) x2
Ir (0.5000, 0.5000, 0.0000) x1